Entry from the Alexandria database: Eu2MgAg2W4O16 after structural relaxation (PBE+U).

Unit cell a=7.8936 b=7.8936 c=7.3620 alpha=114.97 beta=114.97 gamma=93.94
Atoms (fractional coordinates):
Eu  0.2088  0.7912  0.0000
Eu  0.7912  0.2088  0.0000
Mg  0.5000  0.5000  0.0000
Ag  0.1898  0.1898  0.5241
Ag  0.8102  0.8102  0.4759
W  0.2571  0.2571  0.0228
W  0.3471  0.6529  0.5000
W  0.6529  0.3471  0.5000
W  0.7429  0.7429  0.9772
O  0.0408  0.0408  0.8355
O  0.1548  0.3954  0.2365
O  0.2041  0.7027  0.6421
O  0.2117  0.4364  0.9085
O  0.2973  0.7959  0.3579
O  0.3954  0.1548  0.2365
O  0.4364  0.2117  0.9085
O  0.4890  0.4890  0.6713
O  0.5110  0.5110  0.3287
O  0.5636  0.7883  0.0915
O  0.6046  0.8452  0.7635
O  0.7027  0.2041  0.6421
O  0.7883  0.5636  0.0915
O  0.7959  0.2973  0.3579
O  0.8452  0.6046  0.7635
O  0.9592  0.9592  0.1645

* energy: -7.441 eV/atom
* offset from the most stable computed form: 0.0244 eV/atom